Entry 1:
Material: InHg2SI
Method: DFT, PBE
State: relaxed

## Properties
E_tot: -1.723 eV/atom
Energy relative to the elements, uncorrected: 0.0808 eV per atom

Unit cell a=5.939 b=5.939 c=4.825 alpha=90.00 beta=90.00 gamma=90.00
Atoms (fractional coordinates):
1 In 0.000 0.000 0.000
2 Hg 0.000 0.500 0.000
3 Hg 0.500 0.000 0.000
4 S 0.000 0.000 0.500
5 I 0.500 0.500 0.500


Entry 2:
Material: ScAlRu
Method: DFT, PBE
State: relaxed

## Properties
E_tot: -6.710 eV/atom
Formation enthalpy at 0 K: -0.26 eV per atom

Unit cell a=3.108 b=3.108 c=6.273 alpha=90.00 beta=90.00 gamma=120.00
Atoms (fractional coordinates):
1 Sc 0.000 0.000 0.000
2 Al 0.667 0.333 0.394
3 Ru 0.333 0.667 0.684


Entry 3:
Material: La8Ge3HCl4
Method: DFT, PBE
State: relaxed

## Properties
E_tot: -5.213 eV/atom

Unit cell a=8.409 b=8.409 c=8.409 alpha=61.81 beta=61.81 gamma=61.81
Atoms (fractional coordinates):
1 La 0.247 0.748 0.748
2 La 0.249 0.249 0.249
3 La 0.252 0.252 0.753
4 La 0.252 0.753 0.252
5 La 0.748 0.247 0.748
6 La 0.748 0.748 0.247
7 La 0.751 0.751 0.751
8 La 0.753 0.252 0.252
9 Ge 0.000 0.000 0.500
10 Ge 0.000 0.500 0.000
11 Ge 0.500 0.000 0.000
12 H 0.500 0.500 0.500
13 Cl 0.000 0.000 0.000
14 Cl 0.000 0.500 0.500
15 Cl 0.500 0.000 0.500
16 Cl 0.500 0.500 0.000


Entry 4:
Material: LaTbHoSe3
Method: DFT, PBE
State: relaxed

## Properties
E_tot: -5.773 eV/atom
Energy relative to the elements, uncorrected: -1.6753 eV per atom

Unit cell a=7.985 b=4.126 c=10.318 alpha=90.00 beta=103.81 gamma=90.00
Atoms (fractional coordinates):
1 La 0.191 0.250 0.216
2 La 0.809 0.750 0.784
3 Tb 0.330 0.750 0.910
4 Tb 0.670 0.250 0.090
5 Ho 0.167 0.250 0.621
6 Ho 0.833 0.750 0.379
7 Se 0.084 0.250 0.886
8 Se 0.209 0.750 0.446
9 Se 0.484 0.750 0.196
10 Se 0.516 0.250 0.804
11 Se 0.791 0.250 0.554
12 Se 0.916 0.750 0.114


Entry 5:
Material: HoSc2Sb4
Method: DFT, PBE
State: relaxed

## Properties
E_tot: -5.534 eV/atom
Energy relative to the elements, uncorrected: -0.7152 eV per atom

Unit cell a=5.869 b=5.869 c=15.988 alpha=90.00 beta=90.00 gamma=138.00
Atoms (fractional coordinates):
1 Ho 0.066 0.934 0.750
2 Ho 0.934 0.066 0.250
3 Sc 0.346 0.654 0.575
4 Sc 0.346 0.654 0.925
5 Sc 0.654 0.346 0.075
6 Sc 0.654 0.346 0.425
7 Sb 0.000 0.000 0.000
8 Sb 0.000 0.000 0.500
9 Sb 0.342 0.658 0.116
10 Sb 0.342 0.658 0.384
11 Sb 0.355 0.645 0.750
12 Sb 0.645 0.355 0.250
13 Sb 0.658 0.342 0.616
14 Sb 0.658 0.342 0.884


Number 1: DOS(E_F) 1.4 states/eV/f.u.. Number 2: DOS(E_F) 2.7 states/eV/f.u.. Number 3: DOS(E_F) 9.6 states/eV/f.u.. Number 4: DOS(E_F) 4.0 states/eV/f.u.. Number 5: DOS(E_F) 2.8 states/eV/f.u..